Computed, not measured: a geometry-optimized TlInTe structure at the GGA-PBEsol level of DFT.

Cell lengths 6.401, 6.401, 6.401 Å; angles 144.70, 144.70, 50.78 degrees
Atoms (fractional coordinates):
Tl  0.000  0.000  0.000
In  0.689  0.689  0.000
Te  0.321  0.321  0.000

Output
SG = I4mm
theoretical density = 8.51 g cm⁻³
total DFT energy (no corrections) = -3.188 eV per atom
formation energy from raw total energies = -142 meV/atom
distance to the lowest polymorph of the same formula = 47 meV/atom

Computed, not measured: a geometry-optimized TlIn2Te structure at the GGA-PBEsol level of DFT.

Cell lengths 4.763, 4.824, 4.952 Å; angles 90.00, 90.00, 90.00 degrees
Atoms (fractional coordinates):
Tl  0.000  0.000  0.000
In  0.000  0.500  0.500
In  0.500  0.000  0.500
Te  0.500  0.500  0.000

Output
SG = Pmmm
theoretical density = 8.20 g cm⁻³
total DFT energy (no corrections) = -3.130 eV per atom
formation energy from raw total energies = -100 meV/atom
distance to the lowest polymorph of the same formula = 10 meV/atom

Computed, not measured: a geometry-optimized TlIn2Te structure at the GGA-PBEsol level of DFT.

Cell lengths 4.011, 4.011, 7.001 Å; angles 90.00, 90.00, 90.00 degrees
Atoms (fractional coordinates):
Tl  0.000  0.000  0.000
In  0.000  0.000  0.505
In  0.500  0.500  0.259
Te  0.500  0.500  0.714

Output
SG = P4mm
theoretical density = 8.28 g cm⁻³
total DFT energy (no corrections) = -3.141 eV per atom
formation energy from raw total energies = -110 meV/atom
distance to the lowest polymorph of the same formula = 0 meV/atom

Computed, not measured: a geometry-optimized TlInTe structure at the GGA-PBEsol level of DFT.

Cell lengths 5.526, 5.526, 3.208 Å; angles 90.00, 90.00, 120.00 degrees
Atoms (fractional coordinates):
Tl  0.000  0.000  0.000
In  0.667  0.333  0.493
Te  0.333  0.667  0.512

Output
SG = P3m1
theoretical density = 8.75 g cm⁻³
total DFT energy (no corrections) = -3.140 eV per atom
formation energy from raw total energies = -93 meV/atom
distance to the lowest polymorph of the same formula = 95 meV/atom

Computed, not measured: a geometry-optimized TlIn2Te structure at the GGA-PBEsol level of DFT.

Cell lengths 6.254, 6.254, 6.254 Å; angles 143.00, 128.96, 64.69 degrees
Atoms (fractional coordinates):
Tl  0.000  0.000  0.000
In  0.267  0.767  0.500
In  0.733  0.233  0.500
Te  0.500  0.500  0.000

Output
SG = Immm
theoretical density = 8.25 g cm⁻³
total DFT energy (no corrections) = -3.128 eV per atom
formation energy from raw total energies = -98 meV/atom
distance to the lowest polymorph of the same formula = 12 meV/atom

Computed, not measured: a geometry-optimized TlIn2Te structure at the GGA-PBEsol level of DFT.

Cell lengths 6.282, 6.282, 6.282 Å; angles 142.69, 131.39, 62.84 degrees
Atoms (fractional coordinates):
Tl  0.000  0.000  0.000
In  0.263  0.763  0.500
In  0.512  0.512  0.000
Te  0.738  0.238  0.500

Output
SG = Imm2
theoretical density = 8.37 g cm⁻³
total DFT energy (no corrections) = -3.128 eV per atom
formation energy from raw total energies = -98 meV/atom
distance to the lowest polymorph of the same formula = 13 meV/atom